## TbY6Er5 (GGA-PBE)

Data for a relaxed TbY6Er5 crystal.

As for the volume: 31.44 Å³/atom. The energy of formation comes out at 0.02 eV/atom. Its crystal system is monoclinic. As for the density of states at the Fermi level: 17.6 states/eV/cell. As for the space group: C2/m (12). The total energy comes out at -65.9 eV/cell.

Geometry as CIF:
```
data_TbY6Er5
_symmetry_space_group_name_H-M 'P 1'
_symmetry_Int_Tables_number 1
_cell_length_a 6.1346
_cell_length_b 6.1346
_cell_length_c 11.7506
_cell_angle_alpha 94.99
_cell_angle_beta 94.99
_cell_angle_gamma 119.95
loop_
_symmetry_equiv_pos_as_xyz
'x,y,z'
loop_
_atom_site_label
_atom_site_fract_x
_atom_site_fract_y
_atom_site_fract_z
Tb1 0.0000 0.0000 0.0000
Y1 0.0831 0.4166 0.2505
Y2 0.2506 0.2506 0.7496
Y3 0.4166 0.0831 0.2505
Y4 0.5834 0.9169 0.7495
Y5 0.7494 0.7494 0.2504
Y6 0.9169 0.5834 0.7495
Er1 0.1668 0.8332 0.5000
Er2 0.3333 0.6667 0.0000
Er3 0.5000 0.5000 0.5000
Er4 0.6667 0.3333 0.0000
Er5 0.8332 0.1668 0.5000
```